Crystalline Tc5Ir at its relaxed geometry, computed with PBEsol.

Properties
As for the density: 13.56 g/cm3. The total energy is -11.1531 eV/atom. The density of states at the Fermi level is 0.939 states/eV/atom. For the volume, the calculation gives 13.9 Å³/atom. For the formation energy from the elements, the calculation gives -127 meV per atom. The space group is Amm2. As for the relative energy among the computed polymorphs: 14.3 meV/atom.

Cell: 4.326 7.234 7.234 Å, 21.65 90.00 90.00°
Sites, in units of the cell vectors:
1 Tc 0.000 0.000 0.000
2 Tc 0.000 0.332 0.332
3 Tc 0.000 0.665 0.665
4 Tc 0.500 0.222 0.222
5 Tc 0.500 0.555 0.555
6 Ir 0.500 0.887 0.887